DFT (GGA-PBE) results for an optimized crystal structure of LiTmPuTe3.

Lattice parameters (Å, degrees): 8.859 4.286 9.500 90.00 103.51 90.00
Fractional positions:
Li1 0.085 0.250 0.084
Li2 0.915 0.750 0.916
Tm1 0.330 0.750 0.336
Tm2 0.670 0.250 0.664
Pu1 0.183 0.250 0.732
Pu2 0.817 0.750 0.268
Te1 0.096 0.250 0.373
Te2 0.237 0.750 0.004
Te3 0.429 0.750 0.669
Te4 0.571 0.250 0.331
Te5 0.763 0.250 0.996
Te6 0.904 0.750 0.627

The space group is P2_1/m, No. 11.

=====

DFT (GGA-PBE) results for an optimized crystal structure of Li2TmPuTe4.

Lattice parameters (Å, degrees): 7.463 4.357 7.547 90.00 109.81 90.00
Fractional positions:
Li1 0.000 0.000 0.000
Li2 0.000 0.500 0.500
Tm1 0.500 0.000 0.500
Pu1 0.500 0.500 0.000
Te1 0.244 0.000 0.742
Te2 0.245 0.500 0.255
Te3 0.755 0.500 0.745
Te4 0.756 0.000 0.258

The space group is P2/m, No. 10.

=====

DFT (GGA-PBE) results for an optimized crystal structure of LiTm3Pu2Te6.

Lattice parameters (Å, degrees): 9.746 9.746 8.742 103.47 103.47 25.67
Fractional positions:
Li1 0.000 0.000 0.000
Tm1 0.000 0.000 0.500
Tm2 0.330 0.330 0.169
Tm3 0.670 0.670 0.831
Pu1 0.334 0.334 0.668
Pu2 0.666 0.666 0.332
Te1 0.164 0.164 0.072
Te2 0.165 0.165 0.586
Te3 0.496 0.496 0.246
Te4 0.504 0.504 0.754
Te5 0.835 0.835 0.414
Te6 0.836 0.836 0.928

The space group is C2/m, No. 12.

=====

DFT (GGA-PBE) results for an optimized crystal structure of LiTm2PuTe4.

Lattice parameters (Å, degrees): 7.516 4.321 7.567 90.00 109.39 90.00
Fractional positions:
Li1 0.000 0.000 0.000
Tm1 0.000 0.500 0.500
Tm2 0.500 0.000 0.500
Pu1 0.500 0.500 0.000
Te1 0.242 0.000 0.745
Te2 0.243 0.500 0.252
Te3 0.757 0.500 0.748
Te4 0.758 0.000 0.255

The space group is P2/m, No. 10.

=====

DFT (GGA-PBE) results for an optimized crystal structure of LiTm2Pu3Te6.

Lattice parameters (Å, degrees): 9.777 9.777 8.757 102.65 102.65 25.77
Fractional positions:
Li1 0.000 0.000 0.000
Tm1 0.335 0.335 0.665
Tm2 0.665 0.665 0.335
Pu1 0.000 0.000 0.500
Pu2 0.333 0.333 0.163
Pu3 0.667 0.667 0.837
Te1 0.163 0.163 0.091
Te2 0.170 0.170 0.581
Te3 0.497 0.497 0.760
Te4 0.503 0.503 0.240
Te5 0.830 0.830 0.419
Te6 0.837 0.837 0.909

The space group is C2/m, No. 12.

=====

DFT (GGA-PBE) results for an optimized crystal structure of Li3PuU3Te8.

Lattice parameters (Å, degrees): 8.669 8.669 8.676 119.44 119.44 60.56
Fractional positions:
Li1 0.000 0.000 0.000
Li2 0.000 0.500 0.500
Li3 0.500 0.000 0.500
Pu1 0.000 0.000 0.500
U1 0.000 0.500 0.000
U2 0.500 0.000 0.000
U3 0.500 0.500 0.500
Te1 0.246 0.246 0.253
Te2 0.254 0.254 0.754
Te3 0.254 0.746 0.245
Te4 0.254 0.746 0.755
Te5 0.746 0.254 0.245
Te6 0.746 0.254 0.755
Te7 0.746 0.746 0.246
Te8 0.754 0.754 0.747

The space group is C2/m, No. 12.

=====

DFT (GGA-PBE) results for an optimized crystal structure of LiPu2UTe4.

Lattice parameters (Å, degrees): 7.634 4.343 7.652 90.00 108.99 90.00
Fractional positions:
Li1 0.000 0.000 0.000
Pu1 0.000 0.500 0.500
Pu2 0.500 0.000 0.500
U1 0.500 0.500 0.000
Te1 0.242 0.500 0.240
Te2 0.246 0.000 0.755
Te3 0.754 0.000 0.245
Te4 0.758 0.500 0.760

The space group is P2/m, No. 10.

=====

DFT (GGA-PBE) results for an optimized crystal structure of LiYPu2Te4.

Lattice parameters (Å, degrees): 7.580 4.397 7.671 90.00 109.72 90.00
Fractional positions:
Li1 0.000 0.000 0.000
Y1 0.000 0.500 0.500
Pu1 0.500 0.000 0.500
Pu2 0.500 0.500 0.000
Te1 0.238 0.500 0.244
Te2 0.241 0.000 0.752
Te3 0.759 0.000 0.248
Te4 0.762 0.500 0.756

The space group is P2/m, No. 10.

=====

How do the records compare in D(E_F)? In the order shown, they have 2.53, 1.82, 2.05, 1.77, 3.41, 2.36, 3.39, 3.84 states/eV per atom.
How do the records compare in energy relative to the elements, uncorrected? In the order shown, they have -1.135, -1.130, -1.191, -1.205, -1.132, -0.774, -0.878, -1.139 eV/atom.